Entry from Alexandria via LeMat-Bulk: a geometry-optimized Sr3Mg7Cd2 structure (GGA-PBE).

Calculated formation energy = -0.140 eV/atom
Crystal system = trigonal
VASP energy = -1.643 eV/atom

The structure in CIF format:
```
data_Sr3Mg7Cd2
_space_group_name_H-M_alt 'R -3 m'
_space_group_IT_number 166
_space_group_name_Hall '-R 3 2"'
_cell_length_a 6.3401
_cell_length_b 6.3401
_cell_length_c 30.0446
_cell_angle_alpha 90.00
_cell_angle_beta 90.00
_cell_angle_gamma 120.00
loop_
_atom_site_label
_atom_site_fract_x
_atom_site_fract_y
_atom_site_fract_z
Sr1 0.0000 0.0000 0.0000
Sr2 0.0000 0.0000 0.1437
Mg1 0.0000 0.0000 0.5000
Mg2 0.0019 0.5010 0.9202
Cd1 0.0000 0.0000 0.3341
```

Entry from Alexandria via LeMat-Bulk: a geometry-optimized Pu2SnPt structure (GGA-PBE).

Calculated formation energy = -0.391 eV/atom
Crystal system = trigonal
VASP energy = -10.068 eV/atom

The structure in CIF format:
```
data_Pu2SnPt
_space_group_name_H-M_alt 'R -3 m'
_space_group_IT_number 166
_space_group_name_Hall '-R 3 2"'
_cell_length_a 3.8490
_cell_length_b 3.8490
_cell_length_c 25.2456
_cell_angle_alpha 90.00
_cell_angle_beta 90.00
_cell_angle_gamma 120.00
loop_
_atom_site_label
_atom_site_fract_x
_atom_site_fract_y
_atom_site_fract_z
Pu1 0.0000 0.0000 0.2383
Sn1 0.0000 0.0000 0.0000
Pt1 0.0000 0.0000 0.5000
```

Entry from Alexandria via LeMat-Bulk: a geometry-optimized V2HgPt structure (GGA-PBE).

Calculated formation energy = 0.406 eV/atom
Crystal system = tetragonal
VASP energy = -5.739 eV/atom

The structure in CIF format:
```
data_V2HgPt
_space_group_name_H-M_alt 'I -4 2 d'
_space_group_IT_number 122
_space_group_name_Hall 'I -4 2bw'
_cell_length_a 7.2599
_cell_length_b 7.2599
_cell_length_c 5.3082
_cell_angle_alpha 90.00
_cell_angle_beta 90.00
_cell_angle_gamma 90.00
loop_
_atom_site_label
_atom_site_fract_x
_atom_site_fract_y
_atom_site_fract_z
V1 0.2145 0.2500 0.1250
Hg1 0.0000 0.0000 0.5000
Pt1 0.0000 0.0000 0.0000
```